# 1
## AcU2ReC4 (PBE)

Data for a relaxed AcU2ReC4 crystal.

Cell: 3.6402 6.2939 12.0097 Å, 90.00 90.00 106.81°
Last column: magnetic moment on the atom in μB.
Positions (direct):
Ac: 0.1008 0.2015 0.7500  0.03
Ac: 0.8992 0.7985 0.2500  0.03
U: 0.3703 0.7406 0.5449  0.70
U: 0.6297 0.2594 0.0449  0.70
U: 0.6297 0.2594 0.4551  0.70
U: 0.3703 0.7406 0.9551  0.70
Re: 0.8400 0.6801 0.7500  0.04
Re: 0.1600 0.3199 0.2500  0.04
C: 0.2502 0.5003 0.1108  -0.01
C: 0.7498 0.4997 0.6108  -0.01
C: 0.7498 0.4997 0.8892  -0.01
C: 0.2502 0.5003 0.3892  -0.01
C: 0.0000 0.0000 0.5000  -0.05
C: 0.0000 0.0000 0.0000  -0.05
C: 0.4168 0.8336 0.7500  0.00
C: 0.5832 0.1664 0.2500  0.00

Summary:
**Magnetic moment**: 0.20 μB per atom
**Formation enthalpy at 0 K**: 0.000 eV/f.u.
**Raw total energy**: -152.056 eV/cell
**Symmetry**: Cmcm, No. 63

# 2
## Cd2AsRu (PBE)

Data for a relaxed Cd2AsRu crystal.

Cell: 3.7192 3.7107 5.3719 Å, 90.00 90.00 90.00°
Last column: magnetic moment on the atom in μB.
Positions (direct):
Ru: 0.5000 0.5000 0.2500  0.08
As: 0.5000 0.5000 0.7500  0.00
Cd: 0.0000 0.0000 0.0048  0.00
Cd: 0.0000 0.0000 0.4952  0.00

Summary:
**Magnetic moment**: 0.02 μB per atom
**Formation enthalpy at 0 K**: 1.210 eV/f.u.
**Raw total energy**: -14.546 eV/cell
**Symmetry**: P4/mmm, No. 123

# 3
## Ta3BH (PBE)

Data for a relaxed Ta3BH crystal.

Cell: 4.0123 4.0123 4.0123 Å, 90.00 90.00 90.00°
Positions (direct):
H: 0.0000 0.0000 0.0000
B: 0.5000 0.5000 0.5000
Ta: 0.0000 0.5000 0.0000
Ta: 0.0000 0.0000 0.5000
Ta: 0.5000 0.0000 0.0000

Summary:
**Magnetic moment**: 0.00 μB per atom
**Raw total energy**: -43.965 eV/cell
**Energy relative to the lowest polymorph listed for this composition**: 655 meV per atom
**Symmetry**: Pm-3m, No. 221